# Th8Te4IrRh3 (PBE, optimized geometry)
data_Th8Te4IrRh3
_chemical_formula_sum 'Th24 Te12 Ir3 Rh9'
_symmetry_space_group_name_H-M 'R -3 m'
_symmetry_Int_Tables_number 166
_symmetry_space_group_name_Hall '-R 3 2"'
_cell_length_a 8.3808
_cell_length_b 8.3808
_cell_length_c 23.0979
_cell_angle_alpha 90.00
_cell_angle_beta 90.00
_cell_angle_gamma 120.00
loop_
_atom_site_label
_atom_site_fract_x
_atom_site_fract_y
_atom_site_fract_z
Th1 0.0000 0.0000 0.2345
Th2 0.0009 0.5005 0.2343
Te1 0.0000 0.0000 0.0000
Te2 0.0000 0.5000 0.0000
Ir1 0.0000 0.0000 0.5000
Rh1 0.0000 0.5000 0.5000
# Formation energy (no corrections) in eV/f.u.: -17.06